# 1
Material: Cd6In3Hg
Method: DFT, GGA-PBE
State: relaxed

E_form	0.042	eV per atom

Cell and atoms, written as POSCAR:
```
Cd6In3Hg
1.0
-2.6715 7.4499 -1.0225
-7.0019 -3.7030 -0.9722
-0.0008 0.0363 7.9801
In Cd Hg
6 12 2
direct
0.4110 0.1451 0.1463
0.8537 0.5890 0.8549
0.5890 0.8549 0.8537
0.1451 0.1463 0.4110
0.1463 0.4110 0.1451
0.8549 0.8537 0.5890
0.6032 0.1678 0.6031
0.8322 0.3969 0.3968
0.6031 0.6032 0.1678
0.3969 0.3968 0.8322
0.2635 0.7369 0.9995
0.1678 0.6031 0.6032
0.7365 0.2631 0.0005
0.2631 0.0005 0.7365
0.3968 0.8322 0.3969
0.9995 0.2635 0.7369
0.7369 0.9995 0.2635
0.0005 0.7365 0.2631
0.5000 0.5000 0.5000
0.0000 0.0000 0.0000
```



# 2
Material: Cd7InHg4
Method: DFT, GGA-PBE
State: relaxed

E above lowest polymorph	0.000	eV/atom
E_form	0.018	eV per atom

Cell and atoms, written as POSCAR:
```
Cd7InHg4
1.0
-0.4146 -0.5906 -3.4188
-0.4779 -2.5940 2.2916
-26.7183 6.7546 2.0735
Hg In Cd
4 1 7
direct
0.3333 0.6667 0.9171
0.3333 0.6667 0.6699
0.6667 0.3333 0.0829
0.6667 0.3333 0.3301
0.0000 0.0000 0.5000
0.0000 0.0000 0.2478
0.3333 0.6667 0.4126
0.3333 0.6667 0.1655
0.6667 0.3333 0.5874
0.0000 0.0000 0.7522
0.0000 0.0000 0.0000
0.6667 0.3333 0.8345
```



# 3
Material: Cd2InHg3
Method: DFT, GGA-PBE
State: relaxed

E above lowest polymorph	0.000	eV/atom
E_form	0.027	eV per atom

Cell and atoms, written as POSCAR:
```
Cd2InHg3
1.0
3.9222 0.0000 0.0000
0.0000 8.7676 0.0000
0.0000 0.0000 9.2696
Hg In Cd
6 2 4
direct
0.5000 0.1430 0.0967
0.0000 0.4149 0.4161
0.5000 0.6430 0.9033
0.0000 0.9149 0.5839
0.5000 0.1600 0.7578
0.5000 0.6600 0.2422
0.0000 0.4129 0.0820
0.0000 0.9129 0.9180
0.5000 0.1494 0.4269
0.0000 0.9212 0.2572
0.5000 0.6494 0.5731
0.0000 0.4212 0.7428
```



| no. | total DFT energy (no corrections) (eV per atom) |
| --- | --- |
| 1 | -1.36 |
| 2 | -0.84 |
| 3 | -0.89 |